# 1
The following is a DFT calculation (PBE-GGA) of an optimized crystal structure of Pu3PbS6.

CIF file:
```
data_Pu3PbS6
_chemical_formula_sum 'Pu6 Pb2 S12'
_cell_length_a 10.999
_cell_length_b 3.958
_cell_length_c 12.395
_cell_angle_alpha 90.00
_cell_angle_beta 107.41
_cell_angle_gamma 90.00
_space_group_name_H-M_alt 'P 1'
_space_group_IT_number 1
_space_group_name_Hall 'P 1'
loop_
_atom_site_label
_atom_site_fract_x
_atom_site_fract_y
_atom_site_fract_z
Pu1 0.032 0.250 0.160
Pu2 0.334 0.750 0.879
Pu3 0.370 0.750 0.204
Pu4 0.630 0.250 0.796
Pu5 0.666 0.250 0.121
Pu6 0.968 0.750 0.840
Pb1 0.175 0.750 0.512
Pb2 0.825 0.250 0.488
S1 0.023 0.250 0.388
S2 0.132 0.250 0.834
S3 0.136 0.750 0.061
S4 0.286 0.250 0.306
S5 0.372 0.250 0.733
S6 0.400 0.250 0.055
S7 0.600 0.750 0.945
S8 0.628 0.750 0.267
S9 0.714 0.750 0.694
S10 0.864 0.250 0.939
S11 0.868 0.750 0.166
S12 0.977 0.750 0.612
```

**E_form (uncorrected)**: -30.062 kcal/mol of atoms
**ρ**: 7.3 g cm⁻³
**VASP energy**: -84.5 eV per formula unit
**Crystal system**: monoclinic

# 2
The following is a DFT calculation (PBE-GGA) of an optimized crystal structure of PuSc4PbS8.

CIF file:
```
data_PuSc4PbS8
_chemical_formula_sum 'Pu1 Sc4 Pb1 S8'
_cell_length_a 7.994
_cell_length_b 7.994
_cell_length_c 7.994
_cell_angle_alpha 57.80
_cell_angle_beta 57.80
_cell_angle_gamma 57.80
_space_group_name_H-M_alt 'P 1'
_space_group_IT_number 1
_space_group_name_Hall 'P 1'
loop_
_atom_site_label
_atom_site_fract_x
_atom_site_fract_y
_atom_site_fract_z
Pu1 0.000 0.000 0.000
Sc1 0.000 0.000 0.497
Sc2 0.000 0.497 0.000
Sc3 0.497 0.000 0.000
Sc4 0.626 0.626 0.626
Pb1 0.371 0.371 0.371
S1 0.230 0.230 0.230
S2 0.234 0.748 0.748
S3 0.246 0.246 0.793
S4 0.246 0.793 0.246
S5 0.748 0.234 0.748
S6 0.748 0.748 0.234
S7 0.757 0.757 0.757
S8 0.793 0.246 0.246
```

**E_form (uncorrected)**: -36.437 kcal/mol of atoms
**ρ**: 4.3 g cm⁻³
**VASP energy**: -98.5 eV per formula unit
**Crystal system**: trigonal

# 3
The following is a DFT calculation (PBE-GGA) of an optimized crystal structure of Tb4PuPbS8.

CIF file:
```
data_Tb4PuPbS8
_chemical_formula_sum 'Tb4 Pu1 Pb1 S8'
_cell_length_a 8.253
_cell_length_b 8.253
_cell_length_c 8.253
_cell_angle_alpha 59.37
_cell_angle_beta 59.37
_cell_angle_gamma 59.37
_space_group_name_H-M_alt 'P 1'
_space_group_IT_number 1
_space_group_name_Hall 'P 1'
loop_
_atom_site_label
_atom_site_fract_x
_atom_site_fract_y
_atom_site_fract_z
Tb1 0.000 0.000 0.000
Tb2 0.377 0.377 0.871
Tb3 0.377 0.871 0.377
Tb4 0.871 0.377 0.377
Pu1 0.376 0.376 0.376
Pb1 0.751 0.751 0.751
S1 0.129 0.129 0.604
S2 0.129 0.604 0.129
S3 0.133 0.133 0.133
S4 0.165 0.615 0.615
S5 0.604 0.129 0.129
S6 0.611 0.611 0.611
S7 0.615 0.165 0.615
S8 0.615 0.615 0.165
```

**E_form (uncorrected)**: -39.434 kcal/mol of atoms
**ρ**: 5.7 g cm⁻³
**VASP energy**: -93.5 eV per formula unit
**Crystal system**: trigonal

# 4
The following is a DFT calculation (PBE-GGA) of an optimized crystal structure of Pu6Sb2Pb.

CIF file:
```
data_Pu6Sb2Pb
_chemical_formula_sum 'Pu6 Sb2 Pb1'
_cell_length_a 8.921
_cell_length_b 8.921
_cell_length_c 3.412
_cell_angle_alpha 90.00
_cell_angle_beta 90.00
_cell_angle_gamma 120.00
_space_group_name_H-M_alt 'P 1'
_space_group_IT_number 1
_space_group_name_Hall 'P 1'
loop_
_atom_site_label
_atom_site_fract_x
_atom_site_fract_y
_atom_site_fract_z
Pu1 0.000 0.336 0.000
Pu2 0.000 0.664 0.000
Pu3 0.336 0.000 0.000
Pu4 0.336 0.336 0.000
Pu5 0.664 0.000 0.000
Pu6 0.664 0.664 0.000
Sb1 0.333 0.667 0.500
Sb2 0.667 0.333 0.500
Pb1 0.000 0.000 0.500
```

**E_form (uncorrected)**: -3.234 kcal/mol of atoms
**ρ**: 13.5 g cm⁻³
**VASP energy**: -99.2 eV per formula unit
**Crystal system**: hexagonal